# 1
Entry from Alexandria via LeMat-Bulk: AcTb7Dy12 after structural relaxation (PBE).

Calculated values
- ΔH_f (0 K): 0.24 eV per atom
- Total magnetic moment: 0.00 μB/atom
- SG: No. 148
- Final energy: -87.01 eV per cell
- Offset from the most stable computed form: 0.0 meV/atom

a b c (Å): 8.7387 8.7387 8.7387
angles (deg): 87.07 87.07 87.07
With the nearest neighbours (Å) after each atom.
Element x y z (fractional)
Ac (0.0000, 0.0000, 0.0000)  6 Dy 3.56, 6 Tb 3.85
Tb (0.8445, 0.6054, 0.9354)  3 Tb 3.41-3.55, 6 Dy 3.44-3.80
Tb (0.3946, 0.0646, 0.1555)  3 Tb 3.41-3.55, 6 Dy 3.44-3.80
Tb (0.0646, 0.1555, 0.3946)  3 Tb 3.41-3.55, 6 Dy 3.44-3.80
Tb (0.5000, 0.5000, 0.5000)  6 Dy 3.33
Tb (0.9354, 0.8445, 0.6054)  3 Tb 3.41-3.55, 6 Dy 3.44-3.80
Tb (0.6054, 0.9354, 0.8445)  3 Tb 3.41-3.55, 6 Dy 3.44-3.80
Tb (0.1555, 0.3946, 0.0646)  3 Tb 3.41-3.55, 6 Dy 3.44-3.80
Dy (0.8497, 0.2719, 0.7221)  4 Dy 3.20-3.55, 2 Tb 3.51-3.54, 1 Ac 3.56
Dy (0.7281, 0.2779, 0.1503)  4 Dy 3.20-3.55, 2 Tb 3.51-3.54, 1 Ac 3.56
Dy (0.6227, 0.1332, 0.4945)  5 Dy 3.20-3.55, 2 Tb 3.33-3.44
Dy (0.8668, 0.5055, 0.3773)  5 Dy 3.20-3.55, 2 Tb 3.33-3.44
Dy (0.2779, 0.1503, 0.7281)  4 Dy 3.20-3.55, 2 Tb 3.51-3.54, 1 Ac 3.56
Dy (0.5055, 0.3773, 0.8668)  5 Dy 3.20-3.55, 2 Tb 3.33-3.44
Dy (0.4945, 0.6227, 0.1332)  5 Dy 3.20-3.55, 2 Tb 3.33-3.44
Dy (0.7221, 0.8497, 0.2719)  4 Dy 3.20-3.55, 2 Tb 3.51-3.54, 1 Ac 3.56
Dy (0.1332, 0.4945, 0.6227)  5 Dy 3.20-3.55, 2 Tb 3.33-3.44
Dy (0.3773, 0.8668, 0.5055)  5 Dy 3.20-3.55, 2 Tb 3.33-3.44
Dy (0.2719, 0.7221, 0.8497)  4 Dy 3.20-3.55, 2 Tb 3.51-3.54, 1 Ac 3.56
Dy (0.1503, 0.7281, 0.2779)  4 Dy 3.20-3.55, 2 Tb 3.51-3.54, 1 Ac 3.56

# 2
Entry from Alexandria via LeMat-Bulk: ZrB2Ru2 after structural relaxation (PBE).

Calculated values
- ΔH_f (0 K): -0.23 eV per atom
- Total magnetic moment: 0.00 μB/atom
- SG: No. 139
- Final energy: -41.59 eV per cell

a b c (Å): 3.9101 3.9101 5.0836
angles (deg): 67.38 67.38 90.00
With the nearest neighbours (Å) after each atom.
Element x y z (fractional)
Ru (0.3402, 0.3402, 0.3196)  4 B 2.10
Ru (0.6598, 0.6598, 0.6804)  4 B 2.10
B (0.7500, 0.2500, 0.5000)  4 Ru 2.10
B (0.2500, 0.7500, 0.5000)  4 Ru 2.10
Zr (0.0000, 0.0000, 0.0000)  8 B 2.89, 10 Ru 2.90-3.08

# 3
Entry from Alexandria via LeMat-Bulk: LaCoH after structural relaxation (PBE).

Calculated values
- Total magnetic moment: 0.00 μB/atom
- SG: No. 12
- Final energy: -31.11 eV per cell
- Offset from the most stable computed form: 233.4 meV/atom

a b c (Å): 3.6054 5.1572 6.0059
angles (deg): 116.20 90.00 110.46
With the nearest neighbours (Å) after each atom.
Element x y z (fractional)
H (0.3060, 0.6119, 0.7045)  3 Co 1.79-1.89
H (0.6940, 0.3881, 0.2955)  3 Co 1.79-1.89
Co (0.2554, 0.5107, 0.3775)  3 H 1.79-1.89
Co (0.7446, 0.4893, 0.6225)  3 H 1.79-1.89
La (0.0781, 0.1561, 0.7941)  1 H 2.50
La (0.9219, 0.8439, 0.2059)  1 H 2.50

# 4
Entry from Alexandria via LeMat-Bulk: Th2BiPdRh5 after structural relaxation (PBE).

Calculated values
- ΔH_f (0 K): -0.20 eV per atom
- Total magnetic moment: 0.00 μB/atom
- SG: No. 140
- Final energy: -125.02 eV per cell

a b c (Å): 8.4490 8.4490 7.9783
angles (deg): 121.97 121.97 90.00
With the nearest neighbours (Å) after each atom.
Element x y z (fractional)
Th (0.1405, 0.3595, 0.0000)  2 Rh 2.48
Th (0.6405, 0.1405, 0.0000)  2 Rh 2.48
Th (0.3595, 0.8595, 0.0000)  2 Rh 2.48
Th (0.8595, 0.6405, 0.0000)  2 Rh 2.48
Bi (0.2500, 0.2500, 0.5000)  2 Rh 2.64
Bi (0.7500, 0.7500, 0.5000)  2 Rh 2.64
Pd (0.2500, 0.7500, 0.5000)  4 Rh 2.57
Pd (0.7500, 0.2500, 0.5000)  4 Rh 2.57
Rh (0.9454, 0.4454, 0.2712)  1 Th 2.48, 1 Pd 2.57
Rh (0.6742, 0.1742, 0.7288)  1 Th 2.48, 1 Pd 2.57
Rh (0.0546, 0.5546, 0.7288)  1 Th 2.48, 1 Pd 2.57
Rh (0.1742, 0.0546, 0.7288)  1 Th 2.48, 1 Pd 2.57
Rh (0.5546, 0.6742, 0.7288)  1 Th 2.48, 1 Pd 2.57
Rh (0.8258, 0.9454, 0.2712)  1 Th 2.48, 1 Pd 2.57
Rh (0.4454, 0.3258, 0.2712)  1 Th 2.48, 1 Pd 2.57
Rh (0.3258, 0.8258, 0.2712)  1 Th 2.48, 1 Pd 2.57
Rh (0.5000, 0.5000, 0.0000)  2 Bi 2.64
Rh (0.0000, 0.0000, 0.0000)  2 Bi 2.64

# 5
Entry from Alexandria via LeMat-Bulk: LiTi2F after structural relaxation (PBE).

Calculated values
- Total magnetic moment: 0.00 μB/atom
- Energy relative to the elements, uncorrected: -0.957 eV per formula unit
- SG: No. 122
- Final energy: -41.06 eV per cell
- Offset from the most stable computed form: 0.0 meV/atom

a b c (Å): 5.0532 5.0532 6.6723
angles (deg): 67.75 67.75 90.00
With the nearest neighbours (Å) after each atom.
Element x y z (fractional)
F (0.0000, 0.0000, 0.0000)  4 Ti 1.99
F (0.7500, 0.2500, 0.5000)  4 Ti 1.99
Li (0.5000, 0.5000, 0.0000)  4 Ti 2.69
Li (0.2500, 0.7500, 0.5000)  4 Ti 2.69
Ti (0.7524, 0.1250, 0.2500)  2 F 1.99
Ti (0.9976, 0.6250, 0.2500)  2 F 1.99
Ti (0.3750, 0.2476, 0.7500)  2 F 1.99
Ti (0.8750, 0.0024, 0.7500)  2 F 1.99

# 6
Entry from Alexandria via LeMat-Bulk: La5W after structural relaxation (PBE).

Calculated values
- ΔH_f (0 K): 0.84 eV per atom
- Total magnetic moment: 0.01 μB/atom
- SG: No. 216
- Final energy: -32.56 eV per cell
- Offset from the most stable computed form: 554.0 meV/atom

a b c (Å): 6.3604 6.3604 6.3604
angles (deg): 60.00 60.00 60.00
With the nearest neighbours (Å) after each atom.
Element x y z (fractional)
La (0.6275, 0.6275, 0.1176)  6 La 3.12-3.24
La (0.2500, 0.2500, 0.2500)  12 La 3.74, 4 W 3.89
La (0.6275, 0.6275, 0.6275)  6 La 3.12-3.24
La (0.1176, 0.6275, 0.6275)  6 La 3.12-3.24
La (0.6275, 0.1176, 0.6275)  6 La 3.12-3.24
W (0.0000, 0.0000, 0.0000)  16 La 3.72-3.89

# 7
Entry from Alexandria via LeMat-Bulk: Tm8Ag2Bi after structural relaxation (PBE).

Calculated values
- ΔH_f (0 K): -0.11 eV per atom
- Total magnetic moment: 0.08 μB/atom
- SG: No. 12
- Final energy: -46.62 eV per cell

a b c (Å): 5.5306 8.1087 8.1087
angles (deg): 114.87 99.39 99.39
With the nearest neighbours (Å) after each atom.
Element x y z (fractional)
Tm (0.8951, 0.9120, 0.6701)  2 Ag 2.96-3.05, 1 Tm 3.31
Tm (0.8951, 0.6701, 0.9120)  2 Ag 2.96-3.05, 1 Tm 3.31
Tm (0.3013, 0.5994, 0.5994)  2 Ag 3.14, 2 Tm 3.19-3.26, 1 Bi 3.33
Tm (0.5000, 0.7606, 0.2394)  2 Ag 2.90
Tm (0.5000, 0.2394, 0.7606)  2 Ag 2.90
Tm (0.6987, 0.4006, 0.4006)  2 Ag 3.14, 2 Tm 3.19-3.26, 1 Bi 3.33
Tm (0.1049, 0.3299, 0.0880)  2 Ag 2.96-3.05, 1 Tm 3.31
Tm (0.1049, 0.0880, 0.3299)  2 Ag 2.96-3.05, 1 Tm 3.31
Ag (0.0000, 0.3039, 0.6961)  8 Tm 2.90-3.14
Ag (0.0000, 0.6961, 0.3039)  8 Tm 2.90-3.14
Bi (0.5000, 0.0000, 0.0000)  8 Tm 3.27-3.64

# 8
Entry from Alexandria via LeMat-Bulk: PmGaBRh2 after structural relaxation (PBE).

Calculated values
- ΔH_f (0 K): -0.48 eV per atom
- Total magnetic moment: 0.00 μB/atom
- SG: No. 99
- Final energy: -31.58 eV per cell

a b c (Å): 4.1159 4.1159 5.4228
angles (deg): 90.00 90.00 90.00
With the nearest neighbours (Å) after each atom.
Element x y z (fractional)
Pm (0.0000, 0.0000, 0.4465)  2 B 2.59-2.83
Ga (0.5000, 0.5000, 0.6819)  4 Rh 2.52
B (0.0000, 0.0000, 0.9682)  4 Rh 2.06
Rh (0.0000, 0.5000, 0.9517)  2 B 2.06
Rh (0.5000, 0.0000, 0.9516)  2 B 2.06